1.
The following is a DFT calculation (PBE) of a relaxed structure of Hg2SbCl.

It has space group R3m (No. 160, hexagonal axes), with a = 3.4963 Å, b = 3.4963 Å, c = 29.4869 Å, α = 90.00°, β = 90.00° and γ = 120.00°. Symmetry generates all atoms from Hg at (0.0000, 0.0000, 0.0000), Hg at (0.0000, 0.0000, 0.2477), Sb at (0.0000, 0.0000, 0.7543) and Cl at (0.0000, 0.0000, 0.4958).

For the raw formation energy, the calculation gives -20 meV/atom. Its total DFT energy (no corrections) is -1.663 eV/atom. The density of states at the Fermi level comes out at 1.679 states/eV/f.u. For the calculated volume, the calculation gives 26.01 Å³/atom.


2.
The following is a DFT calculation (PBE) of a relaxed structure of HgSb2Cl.

It has space group C2/m (No. 12), with a = 6.2910 Å, b = 10.6546 Å, c = 4.5672 Å, α = 90.00°, β = 133.27° and γ = 90.00°. Symmetry generates all atoms from Hg at (0.0000, 0.0000, 0.0000), Sb at (0.2500, 0.2500, 0.5000) and Cl at (0.0000, 0.5000, 0.0000).

For the raw formation energy, the calculation gives 12 meV/atom. Its total DFT energy (no corrections) is -2.586 eV/atom. The density of states at the Fermi level comes out at 2.311 states/eV/f.u. For the calculated volume, the calculation gives 27.86 Å³/atom.


Please write out number 2 again, unchanged.
The following is a DFT calculation (PBE) of a relaxed structure of HgSb2Cl.

It has space group C2/m (No. 12), with a = 6.2910 Å, b = 10.6546 Å, c = 4.5672 Å, α = 90.00°, β = 133.27° and γ = 90.00°. Symmetry generates all atoms from Hg at (0.0000, 0.0000, 0.0000), Sb at (0.2500, 0.2500, 0.5000) and Cl at (0.0000, 0.5000, 0.0000).

For the raw formation energy, the calculation gives 12 meV/atom. Its total DFT energy (no corrections) is -2.586 eV/atom. The density of states at the Fermi level comes out at 2.311 states/eV/f.u. For the calculated volume, the calculation gives 27.86 Å³/atom.


Q: Which formula does entry 2 have?
A: HgSb2Cl


Copy entry 2 word for word.
The following is a DFT calculation (PBE) of a relaxed structure of HgSb2Cl.

It has space group C2/m (No. 12), with a = 6.2910 Å, b = 10.6546 Å, c = 4.5672 Å, α = 90.00°, β = 133.27° and γ = 90.00°. Symmetry generates all atoms from Hg at (0.0000, 0.0000, 0.0000), Sb at (0.2500, 0.2500, 0.5000) and Cl at (0.0000, 0.5000, 0.0000).

For the raw formation energy, the calculation gives 12 meV/atom. Its total DFT energy (no corrections) is -2.586 eV/atom. The density of states at the Fermi level comes out at 2.311 states/eV/f.u. For the calculated volume, the calculation gives 27.86 Å³/atom.


Q: Among the records above, which one has the highest raw formation energy?
A: HgSb2Cl